Rb3AlIr: relaxed, PBEsol.

Output
**Formation enthalpy at 0 K**: 1.145 eV per atom

Cell lengths 6.1753, 6.1753, 6.1753 Å; angles 90.00, 90.00, 90.00 degrees
With the nearest neighbours (Å) after each atom.
Space group Pm-3m (No. 221)
Inequivalent atoms, fractional coordinates:
Rb 0.0000 0.0000 0.5000 [3 per cell]  2 Ir 3.09
Al 0.5000 0.5000 0.5000 [1 per cell]  12 Rb 4.37
Ir 0.0000 0.0000 0.0000 [1 per cell]  6 Rb 3.09

=====

Al3ReIr: relaxed, PBEsol.

Output
**Formation enthalpy at 0 K**: 0.846 eV per atom

Cell lengths 4.5608, 4.5608, 4.5608 Å; angles 90.00, 90.00, 90.00 degrees
With the nearest neighbours (Å) after each atom.
Space group Pm-3m (No. 221)
Inequivalent atoms, fractional coordinates:
Al 0.0000 0.0000 0.5000 [3 per cell]  2 Ir 2.28
Re 0.5000 0.5000 0.5000 [1 per cell]  12 Al 3.22
Ir 0.0000 0.0000 0.0000 [1 per cell]  6 Al 2.28

=====

no.,uncorrected energy (eV/atom)
1,-2.25
2,-6.24